# PBE DyTm2ScN4, optimized geometry
data_DyTm2ScN4
_chemical_formula_sum 'Dy1 Tm2 Sc1 N4'
_cell_length_a 5.8413
_cell_length_b 3.3766
_cell_length_c 5.8415
_cell_angle_alpha 90.00
_cell_angle_beta 109.42
_cell_angle_gamma 90.00
_symmetry_space_group_name_H-M 'P 1 2/m 1'
_symmetry_Int_Tables_number 10
loop_
_symmetry_equiv_pos_as_xyz
'x,y,z'
'-x,-y,-z'
'-x,y,-z'
'x,-y,z'
loop_
_atom_site_label
_atom_site_type_symbol
_atom_site_fract_x
_atom_site_fract_y
_atom_site_fract_z
Dy1 Dy 0.0000 0.0000 0.0000
Tm1 Tm 0.0000 0.5000 0.5000
Tm2 Tm 0.5000 0.0000 0.5000
Sc1 Sc 0.5000 0.5000 0.0000
N1 N 0.2560 0.5000 0.2499
N2 N 0.2573 0.0000 0.7544
# Uncorrected formation energy ... -1376 kJ/mol of formula units
# Magnetic moment ... 0.000 μB per formula unit

=====

# PBE TiOs2Cl2, optimized geometry
data_TiOs2Cl2
_chemical_formula_sum 'Ti2 Os4 Cl4'
_cell_length_a 6.4381
_cell_length_b 6.4381
_cell_length_c 4.6209
_cell_angle_alpha 90.00
_cell_angle_beta 90.00
_cell_angle_gamma 90.00
_symmetry_space_group_name_H-M 'P 4/m b m'
_symmetry_Int_Tables_number 127
_symmetry_space_group_name_Hall '-P 4 2ab'
loop_
_atom_site_label
_atom_site_type_symbol
_atom_site_fract_x
_atom_site_fract_y
_atom_site_fract_z
Ti1 Ti 0.0000 0.0000 0.0000
Os1 Os 0.1371 0.3629 0.0000
Cl1 Cl 0.1988 0.3012 0.5000
# Uncorrected formation energy ... 263 kJ/mol of formula units
# Excess energy over the best structure of this formula in the dataset ... 0 meV/atom
# Magnetic moment ... 0.000 μB per formula unit

=====

# PBE Sr3Sn3Ge2, optimized geometry
data_Sr3Sn3Ge2
_chemical_formula_sum 'Sr12 Sn12 Ge8'
_cell_length_a 4.9207
_cell_length_b 12.1428
_cell_length_c 16.8096
_cell_angle_alpha 90.00
_cell_angle_beta 90.00
_cell_angle_gamma 90.00
_symmetry_space_group_name_H-M 'C m c m'
_symmetry_Int_Tables_number 63
_symmetry_space_group_name_Hall '-C 2c 2'
loop_
_atom_site_label
_atom_site_type_symbol
_atom_site_fract_x
_atom_site_fract_y
_atom_site_fract_z
Sr1 Sr 0.0000 0.0946 0.2500
Sr2 Sr 0.0000 0.1413 0.5542
Sn1 Sn 0.0000 0.1945 0.7500
Sn2 Sn 0.0000 0.4259 0.5771
Ge1 Ge 0.0000 0.3941 0.1747
# Energy ... -3.74 eV per atom
# Magnetic moment ... 0.000 μB per formula unit

=====

# PBE Np3Te2O2, optimized geometry
data_Np3Te2O2
_chemical_formula_sum 'Np6 Te4 O4'
_cell_length_a 12.2786
_cell_length_b 3.9983
_cell_length_c 7.7318
_cell_angle_alpha 90.00
_cell_angle_beta 123.65
_cell_angle_gamma 90.00
_symmetry_space_group_name_H-M 'C 1 2/m 1'
_symmetry_Int_Tables_number 12
loop_
_symmetry_equiv_pos_as_xyz
'x,y,z'
'-x,-y,-z'
'-x,y,-z'
'x,-y,z'
'x+1/2,y+1/2,z'
'-x+1/2,-y+1/2,-z'
'-x+1/2,y+1/2,-z'
'x+1/2,-y+1/2,z'
loop_
_atom_site_label
_atom_site_type_symbol
_atom_site_fract_x
_atom_site_fract_y
_atom_site_fract_z
Np1 Np 0.0000 0.0000 0.0000
Np2 Np 0.1862 0.0000 0.7615
Te1 Te 0.0746 0.5000 0.3532
O1 O 0.2081 0.0000 0.0814
# Uncorrected formation energy ... -1165 kJ/mol of formula units
# Magnetic moment ... 12.973 μB per formula unit

=====

# PBE PmPrGaIr, optimized geometry
data_PmPrGaIr
_chemical_formula_sum 'Pm2 Pr2 Ga2 Ir2'
_cell_length_a 4.2576
_cell_length_b 4.2781
_cell_length_c 10.9128
_cell_angle_alpha 90.00
_cell_angle_beta 90.00
_cell_angle_gamma 90.00
_symmetry_space_group_name_H-M 'A m m 2'
_symmetry_Int_Tables_number 38
loop_
_symmetry_equiv_pos_as_xyz
'x,y,z'
'-x,-y,z'
'-x,y,z'
'x,-y,z'
'x,y+1/2,z+1/2'
'-x,-y+1/2,z+1/2'
'-x,y+1/2,z+1/2'
'x,-y+1/2,z+1/2'
loop_
_atom_site_label
_atom_site_type_symbol
_atom_site_fract_x
_atom_site_fract_y
_atom_site_fract_z
Pm1 Pm 0.0000 0.0000 0.0000
Pr1 Pr 0.5000 0.0000 0.7178
Ga1 Ga 0.0000 0.0000 0.2974
Ir1 Ir 0.5000 0.0000 0.4368
# Excess energy over the best structure of this formula in the dataset ... 0 meV/atom
# Magnetic moment ... 0.000 μB per formula unit

=====

# PBE CuNi2, optimized geometry
data_CuNi2
_chemical_formula_sum 'Cu8 Ni16'
_cell_length_a 3.5544
_cell_length_b 3.5544
_cell_length_c 21.2283
_cell_angle_alpha 90.00
_cell_angle_beta 90.00
_cell_angle_gamma 90.00
_symmetry_space_group_name_H-M 'I 41/a m d'
_symmetry_Int_Tables_number 141
loop_
_symmetry_equiv_pos_as_xyz
'x,y,z'
'-x,-y,-z'
'-y+1/4,x+3/4,z+1/4'
'y+1/4,-x+3/4,-z+1/4'
'-x+1/2,-y,z+1/2'
'x+1/2,y,-z+1/2'
'y+1/4,-x+1/4,z+3/4'
'-y+1/4,x+1/4,-z+3/4'
'x,-y,-z'
'-x,y,z'
'-y+1/4,-x+1/4,-z+3/4'
'y+1/4,x+1/4,z+3/4'
'-x+1/2,y,-z+1/2'
'x+1/2,-y,z+1/2'
'y+1/4,x+3/4,-z+1/4'
'-y+1/4,-x+3/4,z+1/4'
'x+1/2,y+1/2,z+1/2'
'-x+1/2,-y+1/2,-z+1/2'
'-y+3/4,x+1/4,z+3/4'
'y+3/4,-x+1/4,-z+3/4'
'-x,-y+1/2,z'
'x,y+1/2,-z'
'y+3/4,-x+3/4,z+1/4'
'-y+3/4,x+3/4,-z+1/4'
'x+1/2,-y+1/2,-z+1/2'
'-x+1/2,y+1/2,z+1/2'
'-y+3/4,-x+3/4,-z+1/4'
'y+3/4,x+3/4,z+1/4'
'-x,y+1/2,-z'
'x,-y+1/2,z'
'y+3/4,x+1/4,-z+3/4'
'-y+3/4,-x+1/4,z+3/4'
loop_
_atom_site_label
_atom_site_type_symbol
_atom_site_fract_x
_atom_site_fract_y
_atom_site_fract_z
Cu1 Cu 0.0000 0.2500 0.2918
Ni1 Ni 0.0000 0.2500 0.1253
Ni2 Ni 0.0000 0.2500 0.7928
# Energy ... -5.18 eV per atom
# Magnetic moment ... 0.955 μB per formula unit

=====

# PBE Tb7Ga2Bi2, optimized geometry
data_Tb7Ga2Bi2
_chemical_formula_sum 'Tb14 Ga4 Bi4'
_cell_length_a 7.6175
_cell_length_b 10.8544
_cell_length_c 8.0453
_cell_angle_alpha 90.00
_cell_angle_beta 90.00
_cell_angle_gamma 90.00
_symmetry_space_group_name_H-M 'C m m m'
_symmetry_Int_Tables_number 65
_symmetry_space_group_name_Hall '-C 2 2'
loop_
_atom_site_label
_atom_site_type_symbol
_atom_site_fract_x
_atom_site_fract_y
_atom_site_fract_z
Tb1 Tb 0.0000 0.0000 0.0000
Tb2 Tb 0.0000 0.5000 0.2900
Tb3 Tb 0.2500 0.2500 0.3004
Ga1 Ga 0.1676 0.0000 0.5000
Bi1 Bi 0.0000 0.3033 0.0000
# Energy ... -4.42 eV per atom
# Magnetic moment ... 0.001 μB per formula unit

=====

# PBE LaDySe, optimized geometry
data_LaDySe
_chemical_formula_sum 'La1 Dy1 Se1'
_cell_length_a 3.9781
_cell_length_b 3.9781
_cell_length_c 6.7794
_cell_angle_alpha 90.00
_cell_angle_beta 90.00
_cell_angle_gamma 120.00
_symmetry_space_group_name_H-M 'P 3 m 1'
_symmetry_Int_Tables_number 156
loop_
_symmetry_equiv_pos_as_xyz
'x,y,z'
'-y,x-y,z'
'-x+y,-x,z'
'-y,-x,z'
'-x+y,y,z'
'x,x-y,z'
loop_
_atom_site_label
_atom_site_type_symbol
_atom_site_fract_x
_atom_site_fract_y
_atom_site_fract_z
La1 La 0.0000 0.0000 0.0000
Dy1 Dy 0.3333 0.6667 0.5532
Se1 Se 0.6667 0.3333 0.2939
# Uncorrected formation energy ... -319 kJ/mol of formula units
# Excess energy over the best structure of this formula in the dataset ... 0 meV/atom
# Magnetic moment ... 1.350 μB per formula unit

=====

# PBE CaInBr, optimized geometry
data_CaInBr
_chemical_formula_sum 'Ca4 In4 Br4'
_cell_length_a 7.5437
_cell_length_b 7.5437
_cell_length_c 7.5437
_cell_angle_alpha 90.00
_cell_angle_beta 90.00
_cell_angle_gamma 90.00
_symmetry_space_group_name_H-M 'F -4 3 m'
_symmetry_Int_Tables_number 216
_symmetry_space_group_name_Hall 'F -4 2 3'
loop_
_atom_site_label
_atom_site_type_symbol
_atom_site_fract_x
_atom_site_fract_y
_atom_site_fract_z
Ca1 Ca 0.0000 0.0000 0.0000
In1 In 0.2500 0.2500 0.2500
Br1 Br 0.2500 0.2500 0.7500
# Uncorrected formation energy ... -109 kJ/mol of formula units
# Excess energy over the best structure of this formula in the dataset ... 701 meV/atom
# Magnetic moment ... 0.340 μB per formula unit

=====

# PBE ScMoIr2, optimized geometry
data_ScMoIr2
_chemical_formula_sum 'Sc2 Mo2 Ir4'
_cell_length_a 4.1099
_cell_length_b 4.1099
_cell_length_c 7.5343
_cell_angle_alpha 90.00
_cell_angle_beta 90.00
_cell_angle_gamma 90.00
_symmetry_space_group_name_H-M 'I 4/m m m'
_symmetry_Int_Tables_number 139
_symmetry_space_group_name_Hall '-I 4 2'
loop_
_atom_site_label
_atom_site_type_symbol
_atom_site_fract_x
_atom_site_fract_y
_atom_site_fract_z
Sc1 Sc 0.0000 0.0000 0.0000
Mo1 Mo 0.0000 0.0000 0.5000
Ir1 Ir 0.0000 0.5000 0.2500
# Excess energy over the best structure of this formula in the dataset ... 124 meV/atom
# Magnetic moment ... 0.000 μB per formula unit

=====

# PBE InAsH2O5, optimized geometry
data_InAsH2O5
_chemical_formula_sum 'In2 As2 H4 O10'
_cell_length_a 5.6310
_cell_length_b 5.7585
_cell_length_c 6.8526
_cell_angle_alpha 98.14
_cell_angle_beta 94.47
_cell_angle_gamma 107.07
_symmetry_space_group_name_H-M 'P -1'
_symmetry_Int_Tables_number 2
loop_
_symmetry_equiv_pos_as_xyz
'x,y,z'
'-x,-y,-z'
loop_
_atom_site_label
_atom_site_type_symbol
_atom_site_fract_x
_atom_site_fract_y
_atom_site_fract_z
In1 In 0.1368 0.2261 0.2179
As1 As 0.2378 0.3804 0.7413
H1 H 0.3979 0.8623 0.2536
H2 H 0.4228 0.8743 0.7875
O1 O 0.0632 0.2623 0.5171
O2 O 0.1379 0.1532 0.8888
O3 O 0.1847 0.6474 0.8478
O4 O 0.4205 0.0424 0.2671
O5 O 0.4441 0.5693 0.2545
# Energy ... -5.60 eV per atom
# Magnetic moment ... 0.000 μB per formula unit

=====

# PBE Hf2NpCd, optimized geometry
data_Hf2NpCd
_chemical_formula_sum 'Hf2 Np1 Cd1'
_cell_length_a 3.1960
_cell_length_b 3.1960
_cell_length_c 8.7470
_cell_angle_alpha 90.00
_cell_angle_beta 90.00
_cell_angle_gamma 90.00
_symmetry_space_group_name_H-M 'P 4/m m m'
_symmetry_Int_Tables_number 123
_symmetry_space_group_name_Hall '-P 4 2'
loop_
_atom_site_label
_atom_site_type_symbol
_atom_site_fract_x
_atom_site_fract_y
_atom_site_fract_z
Hf1 Hf 0.0000 0.0000 0.2444
Np1 Np 0.5000 0.5000 0.5000
Cd1 Cd 0.5000 0.5000 0.0000
# Excess energy over the best structure of this formula in the dataset ... 0 meV/atom
# Magnetic moment ... 3.766 μB per formula unit